A) Compound: Hf3MnSi
Source: Alexandria
Functional: PBE-GGA
Structure: optimized geometry

```
Hf3MnSi
1.0
4.713 0.000 0.000
0.000 4.713 0.000
0.000 0.000 4.713
Hf Mn Si
3 1 1
Cartesian
0.000 0.000 2.356
0.000 2.356 0.000
2.356 0.000 0.000
0.000 0.000 0.000
2.356 2.356 2.356
```



B) Compound: Hf3MnSi
Source: Alexandria
Functional: PBE-GGA
Structure: optimized geometry

```
Hf3MnSi
1.0
4.820 0.000 0.000
0.000 4.820 0.000
0.000 0.000 4.820
Hf Mn Si
3 1 1
Cartesian
0.000 0.000 2.410
0.000 2.410 0.000
2.410 0.000 0.000
2.410 2.410 2.410
0.000 0.000 0.000
```



Bottom line: A), by a margin of 40.4 kJ/mol of atoms.



A) Compound: Hf3MnSn
Source: Alexandria
Functional: PBE-GGA
Structure: optimized geometry

```
Hf3MnSn
1.0
6.760 0.000 0.000
-3.380 5.854 0.000
0.000 0.000 5.302
Hf Mn Sn
6 2 2
Cartesian
0.000 2.060 1.326
-1.596 4.824 1.326
1.784 1.030 3.977
1.596 4.824 1.326
4.976 1.030 3.977
3.380 3.794 3.977
0.000 0.000 0.000
0.000 0.000 2.651
0.000 3.903 3.977
3.380 1.951 1.326
```



B) Compound: Hf3MnSn
Source: Alexandria
Functional: PBE-GGA
Structure: optimized geometry

```
Hf3MnSn
1.0
4.851 0.000 0.000
0.000 4.851 0.000
0.000 0.000 4.851
Hf Mn Sn
3 1 1
Cartesian
0.000 0.000 2.425
0.000 2.425 0.000
2.425 0.000 0.000
0.000 0.000 0.000
2.425 2.425 2.425
```



Bottom line: A), by a margin of 26.1 kJ/mol of atoms.